# 1
The following is a PBE calculation of a geometry-optimized RhSF3 structure, from Alexandria.

Values from the calculation:
Uncorrected formation energy in meV per atom: 62
E above lowest polymorph in meV/atom: 353.0
SG: Pm-3m

Lattice parameters (Å, degrees): 4.2436 4.2436 4.2436 90.00 90.00 90.00
Site moments in Bohr magnetons follow the coordinates.
Element x y z (fractional)
S: 0.0000 0.0000 0.0000  0.03
Rh: 0.5000 0.5000 0.5000  1.72
F: 0.0000 0.5000 0.0000  0.02
F: 0.0000 0.0000 0.5000  0.00
F: 0.5000 0.0000 0.0000  0.01

# 2
The following is a PBE calculation of a geometry-optimized YCd3O structure, from Alexandria.

Values from the calculation:
Uncorrected formation energy in meV per atom: -137
E above lowest polymorph in meV/atom: 0.0
SG: Pm-3m

Lattice parameters (Å, degrees): 4.8019 4.8019 4.8019 90.00 90.00 90.00
Element x y z (fractional)
Y: 0.5000 0.5000 0.5000
O: 0.0000 0.0000 0.0000
Cd: 0.0000 0.5000 0.0000
Cd: 0.0000 0.0000 0.5000
Cd: 0.5000 0.0000 0.0000

# 3
The following is a PBE calculation of a geometry-optimized TeAs2 structure, from Alexandria.

Values from the calculation:
Uncorrected formation energy in meV per atom: 239
SG: Imma

Lattice parameters (Å, degrees): 12.1572 12.1572 12.1572 162.68 162.29 24.87
Element x y z (fractional)
Te: 0.3484 0.5984 0.7500
Te: 0.6516 0.4016 0.2500
As: 0.9669 0.2169 0.7500
As: 0.0331 0.7831 0.2500
As: 0.7999 0.0499 0.7500
As: 0.2001 0.9501 0.2500

# 4
The following is a PBE calculation of a geometry-optimized CaAl2Hg structure, from Alexandria.

Values from the calculation:
SG: P1
Formation energy from the elements in kJ/mol of formula units: -47.1

Lattice parameters (Å, degrees): 5.2673 5.2660 5.2365 128.16 128.10 76.07
Element x y z (fractional)
Ca: 0.5006 0.5000 0.0000
Hg: 0.2495 0.7506 0.5000
Al: 0.9989 0.9998 0.9997
Al: 0.7513 0.2497 0.5003

# 5
The following is a PBE calculation of a geometry-optimized PrDyZn4 structure, from Alexandria.

Values from the calculation:
E above lowest polymorph in meV/atom: 31.6
SG: F-43m
Formation energy from the elements in kJ/mol of formula units: -186.2

Lattice parameters (Å, degrees): 5.5361 5.5361 5.5361 60.00 60.00 60.00
Element x y z (fractional)
Pr: 0.2500 0.2500 0.2500
Zn: 0.6253 0.6253 0.1241
Zn: 0.6253 0.1241 0.6253
Zn: 0.6253 0.6253 0.6253
Zn: 0.1241 0.6253 0.6253
Dy: 0.0000 0.0000 0.0000

# 6
The following is a PBE calculation of a geometry-optimized TbYNiIr structure, from Alexandria.

Values from the calculation:
SG: F-43m
Formation energy from the elements in kJ/mol of formula units: -238.6

Lattice parameters (Å, degrees): 4.8397 4.8397 4.8397 60.00 60.00 60.00
Element x y z (fractional)
Y: 0.7500 0.7500 0.7500
Ni: 0.0000 0.0000 0.0000
Ir: 0.5000 0.5000 0.5000
Tb: 0.2500 0.2500 0.2500

# 7
The following is a PBE calculation of a geometry-optimized LiPuSnBi structure, from Alexandria.

Values from the calculation:
E above lowest polymorph in meV/atom: 0.0
SG: Pmmm
Formation energy from the elements in kJ/mol of formula units: -133.7

Lattice parameters (Å, degrees): 4.3924 4.8383 4.7896 90.00 90.00 90.00
Site moments in Bohr magnetons follow the coordinates.
Element x y z (fractional)
Li: 0.5000 0.5000 0.0000  -0.03
Pu: 0.5000 0.0000 0.5000  -5.38
Sn: 0.0000 0.0000 0.0000  0.00
Bi: 0.0000 0.5000 0.5000  0.07

# 8
The following is a PBE calculation of a geometry-optimized Hf2BiNO structure, from Alexandria.

Values from the calculation:
Uncorrected formation energy in meV per atom: 1778
SG: P4/mmm

Lattice parameters (Å, degrees): 5.4561 4.1912 5.4561 90.00 90.00 90.00
Element x y z (fractional)
Hf: 0.0000 0.0000 0.5000
Hf: 0.5000 0.0000 0.0000
Bi: 0.0000 0.0000 0.0000
O: 0.0000 0.5000 0.0000
N: 0.5000 0.5000 0.5000